Compound: Na2Mg2Tl
Source: Alexandria via LeMat-Bulk
Functional: PBE
Structure: relaxed

## Properties
Spin magnetization: 0.0 μB/cell
Symmetry: P4/mbm
Energy relative to the elements: 0.169 eV/atom
ρ: 3.40 g/cm3

a b c (Å): 9.2690 9.2690 3.4039
angles (deg): 90.00 90.00 90.00
With the nearest neighbours (Å) after each atom.
Sites, in units of the cell vectors:
Na  0.1293  0.3707  0.0000  6 Mg 3.16-3.26, 3 Na 3.39-3.40
Na  0.3707  0.8707  0.0000  6 Mg 3.16-3.26, 3 Na 3.39-3.40
Na  0.6293  0.1293  0.0000  6 Mg 3.16-3.26, 3 Na 3.39-3.40
Na  0.8707  0.6293  0.0000  6 Mg 3.16-3.26, 3 Na 3.39-3.40
Mg  0.1679  0.6679  0.5000  6 Na 3.16-3.26, 2 Mg 3.40
Mg  0.3321  0.1679  0.5000  6 Na 3.16-3.26, 2 Mg 3.40
Mg  0.6679  0.8321  0.5000  6 Na 3.16-3.26, 2 Mg 3.40
Mg  0.8321  0.3321  0.5000  6 Na 3.16-3.26, 2 Mg 3.40
Tl  0.0000  0.0000  0.0000  2 Tl 3.40, 4 Na 3.64
Tl  0.5000  0.5000  0.0000  2 Tl 3.40, 4 Na 3.64

Compound: SrSc2Mn
Source: Alexandria via LeMat-Bulk
Functional: PBE
Structure: relaxed

## Properties
Spin magnetization: 0.0 μB/cell
Symmetry: R-3m
Energy relative to the elements: 0.495 eV/atom
ρ: 3.78 g/cm3

a b c (Å): 10.4350 10.4350 10.4350
angles (deg): 18.70 18.70 18.70
With the nearest neighbours (Å) after each atom.
Sites, in units of the cell vectors:
Sr  0.0000  0.0000  0.0000  6 Sr 3.39, 2 Sc 3.43
Sc  0.1115  0.1115  0.1115  3 Mn 2.59
Sc  0.8885  0.8885  0.8885  3 Mn 2.59
Mn  0.5000  0.5000  0.5000  6 Sc 2.59

Compound: CoRe4Ag
Source: Alexandria via LeMat-Bulk
Functional: PBE
Structure: relaxed

## Properties
Spin magnetization: 1.8 μB/cell
Symmetry: F-43m
Energy relative to the elements: 0.756 eV/atom
ρ: 15.54 g/cm3

a b c (Å): 5.1648 5.1648 5.1648
angles (deg): 60.00 60.00 60.00
With the nearest neighbours (Å) after each atom.
Sites, in units of the cell vectors:
Co  0.0000  0.0000  0.0000  12 Re 3.03, 4 Ag 3.16
Re  0.1253  0.6249  0.6249  6 Re 2.58
Re  0.6249  0.1253  0.6249  6 Re 2.58
Re  0.6249  0.6249  0.1253  6 Re 2.58
Re  0.6249  0.6249  0.6249  6 Re 2.58
Ag  0.2500  0.2500  0.2500  12 Re 3.03, 4 Co 3.16

Compound: Ni2OsW
Source: Alexandria via LeMat-Bulk
Functional: PBE
Structure: relaxed

## Properties
Spin magnetization: 0.0 μB/cell
Symmetry: I4/mmm
Energy relative to the elements: 0.036 eV/atom
ρ: 15.63 g/cm3

a b c (Å): 4.6208 4.6208 4.6208
angles (deg): 132.75 132.75 69.04
With the nearest neighbours (Å) after each atom.
Sites, in units of the cell vectors:
Ni  0.2500  0.7500  0.5000  4 Ni 2.62, 4 W 2.66, 4 Os 2.66
Ni  0.7500  0.2500  0.5000  4 Ni 2.62, 4 W 2.66, 4 Os 2.66
Os  0.0000  0.0000  0.0000  4 W 2.62, 8 Ni 2.66
W  0.5000  0.5000  0.0000  4 Os 2.62, 8 Ni 2.66

Compound: MgNpBeH6
Source: Alexandria via LeMat-Bulk
Functional: PBE
Structure: relaxed

## Properties
Spin magnetization: 4.0 μB/cell
Symmetry: P-6m2
ρ: 6.36 g/cm3

a b c (Å): 4.3324 4.3324 4.4377
angles (deg): 90.00 90.00 120.00
With the nearest neighbours (Å) after each atom.
Sites, in units of the cell vectors:
Mg  0.0000  0.0000  0.0000  6 H 1.85
Np  0.6667  0.3333  0.5000  12 H 2.38
Be  0.3333  0.6667  0.0000  6 H 1.67
H  0.1830  0.3661  0.2780  1 Be 1.67, 1 Mg 1.85
H  0.1830  0.3661  0.7220  1 Be 1.67, 1 Mg 1.85
H  0.1830  0.8170  0.2780  1 Be 1.67, 1 Mg 1.85
H  0.1830  0.8170  0.7220  1 Be 1.67, 1 Mg 1.85
H  0.6339  0.8170  0.2780  1 Be 1.67, 1 Mg 1.85
H  0.6339  0.8170  0.7220  1 Be 1.67, 1 Mg 1.85

Compound: DyHoEr2Se4
Source: Alexandria via LeMat-Bulk
Functional: PBE
Structure: relaxed

## Properties
Spin magnetization: 0.0 μB/cell
Formation energy without anion corrections: -1.712 eV per atom
Symmetry: P2/m
ρ: 8.64 g/cm3

a b c (Å): 7.0314 3.9991 7.0608
angles (deg): 90.00 108.83 90.00
With the nearest neighbours (Å) after each atom.
Sites, in units of the cell vectors:
Dy  0.0000  0.0000  0.0000  6 Se 2.88
Ho  0.0000  0.5000  0.5000  6 Se 2.87
Er  0.5000  0.0000  0.5000  6 Se 2.85
Er  0.5000  0.5000  0.0000  6 Se 2.86
Se  0.2525  0.0000  0.7500  3 Er 2.85-2.86, 2 Ho 2.87, 1 Dy 2.88
Se  0.2532  0.5000  0.2519  3 Er 2.85-2.86, 1 Ho 2.87, 2 Dy 2.88
Se  0.7475  0.0000  0.2500  3 Er 2.85-2.86, 2 Ho 2.87, 1 Dy 2.88
Se  0.7468  0.5000  0.7481  3 Er 2.85-2.86, 1 Ho 2.87, 2 Dy 2.88

Number 1: final energy -1.470 eV per atom. Number 2: final energy -5.383 eV per atom. Number 3: final energy -9.202 eV per atom. Number 4: final energy -8.900 eV per atom. Number 5: final energy -4.263 eV per atom. Number 6: final energy -5.742 eV per atom.